# Na2CaNpBr8 (PBE, relaxed)
# Calculated density in kg/m3: 3777
# Energy in eV per atom: -4.098
# Size of the total moment in μB per cell: 3.0
# D(E_F) in states/eV per cell: 4.6
# E_form (uncorrected) in meV/atom: -1518
# Crystal system: monoclinic
data_Na2CaNpBr8
_chemical_formula_sum 'Na2 Ca1 Np1 Br8'
_cell_length_a 6.829
_cell_length_b 8.745
_cell_length_c 7.105
_cell_angle_alpha 90.00
_cell_angle_beta 94.38
_cell_angle_gamma 90.00
_space_group_name_H-M_alt 'P 1 2/m 1'
_space_group_IT_number 10
loop_
_space_group_symop_operation_xyz
'x,y,z'
'-x,-y,-z'
'-x,y,-z'
'x,-y,z'
loop_
_atom_site_label
_atom_site_type_symbol
_atom_site_fract_x
_atom_site_fract_y
_atom_site_fract_z
_atom_site_occupancy
Na1 Na 0.000 0.236 0.000 1
Ca1 Ca 0.500 0.000 0.500 1
Np1 Np 0.500 0.500 0.500 1
Br1 Br 0.235 0.000 0.179 1
Br2 Br 0.241 0.500 0.180 1
Br3 Br 0.283 0.267 0.655 1